A plane-wave DFT calculation with PBE was carried out for a geometry-optimized Li3ScU3Te8 structure.

Unit cell a=8.554 b=8.553 c=8.673 alpha=119.55 beta=90.00 gamma=120.00
Atoms (fractional coordinates):
Te 0.761 0.005 0.750
U 0.500 0.500 0.500
Te 0.244 0.489 0.750
U 0.500 0.000 0.500
Te 0.754 0.509 0.763
Te 0.246 0.491 0.237
Te 0.239 0.995 0.250
Te 0.756 0.511 0.250
Sc 0.000 0.000 0.500
Li 0.500 0.500 0.000
U 0.000 0.500 0.500
Li 0.000 0.000 0.000
Li 0.000 0.500 0.000
Te 0.756 0.995 0.250
Te 0.244 0.005 0.750

Summary:
ρ ... 6.62 g/cm³
Formation energy (no corrections) ... -842 meV/atom
DOS at the Fermi energy ... 19.23 states/eV/cell
Space-group type ... R-3m

=====

A plane-wave DFT calculation with PBE was carried out for a geometry-optimized Tb2ErTh3Bi6 structure.

Unit cell a=4.545 b=9.050 c=10.145 alpha=102.71 beta=102.94 gamma=90.00
Atoms (fractional coordinates):
Bi 0.664 0.087 0.327
Th 0.500 0.500 0.000
Th 0.833 0.167 0.665
Th 0.167 0.833 0.335
Tb 0.167 0.333 0.333
Er 0.500 0.000 0.000
Bi 0.001 0.243 0.003
Bi 0.668 0.578 0.337
Bi 0.336 0.913 0.673
Bi 0.999 0.757 0.997
Bi 0.332 0.422 0.663
Tb 0.833 0.667 0.667

Summary:
ρ ... 10.21 g/cm³
DOS at the Fermi energy ... 6.58 states/eV/cell
Formation energy ... -8.5 eV per formula unit
Space-group type ... C2/m

=====

A plane-wave DFT calculation with PBE was carried out for a geometry-optimized Pr2NdY structure.

Unit cell a=4.293 b=4.293 c=7.607 alpha=90.00 beta=90.00 gamma=90.00
Atoms (fractional coordinates):
Pr 0.000 0.000 0.756
Y 0.500 0.500 0.000
Pr 0.000 0.000 0.244
Nd 0.500 0.500 0.500

Summary:
ρ ... 6.10 g/cm³
DOS at the Fermi energy ... 8.42 states/eV/cell
Formation energy ... 0.4 eV per formula unit
Space-group type ... P4/mmm

=====

Number 1: total moment 0.53 μB per atom. Number 2: total moment 0.00 μB per atom. Number 3: total moment 0.00 μB per atom.